i | NaCaCd | PBE | optimized geometry

Values from the calculation:
**DOS at the Fermi energy**: 0.611 states/eV per atom

Cell lengths 5.3245, 5.3245, 3.7617 Å; angles 90.00, 90.00, 120.00 degrees
Space group P3m1 (No. 156)
Asymmetric unit:
Na 0.0000 0.0000 0.0000 [1 per cell]
Ca 0.6667 0.3333 0.4961 [1 per cell]
Cd 0.3333 0.6667 0.9933 [1 per cell]


ii | NaCaCd | PBE | optimized geometry

Values from the calculation:
**DOS at the Fermi energy**: 0.493 states/eV per atom

Cell lengths 5.2228, 5.2228, 7.7165 Å; angles 90.00, 90.00, 120.00 degrees
Space group P-3m1 (No. 164)
Asymmetric unit:
Na 0.3333 0.6667 0.4946 [2 per cell]
Ca 0.0000 0.0000 0.2200 [2 per cell]
Cd 0.3333 0.6667 0.9990 [2 per cell]


iii | NaCaCd | PBE | optimized geometry

Values from the calculation:
**DOS at the Fermi energy**: 0.580 states/eV per atom

Cell lengths 3.987, 3.987, 11.408 Å; angles 90.00, 90.00, 90.00 degrees
Space group I4mm (No. 107)
Asymmetric unit:
Na 0.000 0.000 0.000 [2 per cell]
Ca 0.000 0.000 0.700 [2 per cell]
Cd 0.000 0.000 0.352 [2 per cell]


Short version: iii is the most stable of them.


i | NaCa6Cd | PBE | optimized geometry

Values from the calculation:
**DOS at the Fermi energy**: 0.961 states/eV per atom

Cell lengths 7.497, 12.922, 7.463 Å; angles 90.00, 117.98, 90.00 degrees
Space group C2/m (No. 12)
Asymmetric unit:
Na 0.000 0.000 0.000 [2 per cell]
Ca 0.235 0.295 0.745 [8 per cell]
Ca 0.240 0.500 0.262 [4 per cell]
Cd 0.000 0.500 0.500 [2 per cell]


ii | NaCa6Cd | PBE | optimized geometry

Values from the calculation:
**DOS at the Fermi energy**: 1.274 states/eV per atom

Cell lengths 5.555, 5.555, 19.310 Å; angles 90.00, 90.00, 90.00 degrees
Space group I4/mmm (No. 139)
Asymmetric unit:
Na 0.000 0.000 0.000 [2 per cell]
Ca 0.000 0.000 0.250 [4 per cell]
Ca 0.000 0.500 0.107 [8 per cell]
Cd 0.000 0.000 0.500 [2 per cell]


Short version: ii is the most stable of them.


i | Na3CaCd | PBE | optimized geometry

Values from the calculation:
**DOS at the Fermi energy**: 0.641 states/eV per atom

Cell lengths 5.810, 5.810, 5.810 Å; angles 90.00, 90.00, 90.00 degrees
Space group Pm-3m (No. 221)
Asymmetric unit:
Na 0.000 0.000 0.500 [3 per cell]
Ca 0.500 0.500 0.500 [1 per cell]
Cd 0.000 0.000 0.000 [1 per cell]


ii | Na3CaCd | PBE | optimized geometry

Values from the calculation:
**DOS at the Fermi energy**: 0.826 states/eV per atom

Cell lengths 6.720, 6.720, 6.720 Å; angles 90.00, 90.00, 90.00 degrees
Space group Pm-3m (No. 221)
Asymmetric unit:
Na 0.000 0.000 0.500 [3 per cell]
Ca 0.000 0.000 0.000 [1 per cell]
Cd 0.500 0.500 0.500 [1 per cell]


Short version: i is the most stable of them.


i | Ca3NbCd | PBE | optimized geometry

Values from the calculation:
**DOS at the Fermi energy**: 0.561 states/eV per atom

Cell lengths 5.587, 5.587, 5.587 Å; angles 90.00, 90.00, 90.00 degrees
Space group Pm-3m (No. 221)
Asymmetric unit:
Ca 0.000 0.000 0.500 [3 per cell]
Nb 0.000 0.000 0.000 [1 per cell]
Cd 0.500 0.500 0.500 [1 per cell]


ii | Ca3NbCd | PBE | optimized geometry

Values from the calculation:
**DOS at the Fermi energy**: 0.797 states/eV per atom

Cell lengths 5.773, 5.773, 5.773 Å; angles 90.00, 90.00, 90.00 degrees
Space group Pm-3m (No. 221)
Asymmetric unit:
Ca 0.000 0.000 0.500 [3 per cell]
Nb 0.500 0.500 0.500 [1 per cell]
Cd 0.000 0.000 0.000 [1 per cell]


Short version: i is the most stable of them.


i | Ca2NbCd | PBE | optimized geometry

Values from the calculation:
**DOS at the Fermi energy**: 0.346 states/eV per atom

Cell lengths 8.471, 8.471, 6.338 Å; angles 90.00, 90.00, 90.00 degrees
Space group I-42d (No. 122)
Asymmetric unit:
Ca 0.236 0.250 0.125 [8 per cell]
Nb 0.000 0.000 0.500 [4 per cell]
Cd 0.000 0.000 0.000 [4 per cell]


ii | Ca2NbCd | PBE | optimized geometry

Values from the calculation:
**DOS at the Fermi energy**: 0.389 states/eV per atom

Cell lengths 7.586, 7.586, 7.586 Å; angles 90.00, 90.00, 90.00 degrees
Space group Fm-3m (No. 225)
Asymmetric unit:
Ca 0.250 0.250 0.250 [8 per cell]
Nb 0.000 0.000 0.000 [4 per cell]
Cd 0.000 0.000 0.500 [4 per cell]


Short version: ii is the most stable of them.


i | Ca2Nb2Cd | PBE | optimized geometry

Values from the calculation:
**DOS at the Fermi energy**: 1.186 states/eV per atom

Cell lengths 3.773, 3.773, 19.253 Å; angles 90.00, 90.00, 90.00 degrees
Space group I4/mmm (No. 139)
Asymmetric unit:
Ca 0.000 0.000 0.101 [4 per cell]
Nb 0.000 0.500 0.250 [4 per cell]
Cd 0.000 0.000 0.500 [2 per cell]


ii | Ca2Nb2Cd | PBE | optimized geometry

Values from the calculation:
**DOS at the Fermi energy**: 0.576 states/eV per atom

Cell lengths 9.168, 9.168, 3.398 Å; angles 90.00, 90.00, 90.00 degrees
Space group P4/mbm (No. 127)
Asymmetric unit:
Ca 0.200 0.300 0.000 [4 per cell]
Nb 0.086 0.586 0.500 [4 per cell]
Cd 0.000 0.000 0.000 [2 per cell]


Short version: i is the most stable of them.